A geometry-optimized CePmTh structure, computed with PBE-GGA.

a b c (Å): 5.6016 5.6016 3.4953
angles (deg): 90.00 90.00 120.00
Space group P-6m2 (No. 187)
Symmetry-distinct sites (fractional):
Ce1 0.0000 0.0000 0.0000
Pm1 0.6667 0.3333 0.0000
Th1 0.3333 0.6667 0.5000

Properties
Formation energy ... 0.12 eV/atom
DOS(E_F) ... 7.0 states/eV/cell
Polymorph energy (0 for the lowest one) ... 0.0720 eV/atom